# 1
CsThInS3: optimized geometry, PBE-GGA.

**Total magnetic moment**: 0.0 μB per formula unit
**ρ**: 4.42 g cm⁻³
**DFT total energy**: -5.254 eV/atom

Lattice parameters (Å, degrees): 4.181 17.812 11.625 90.00 90.00 90.00
Space group Cmcm (No. 63)
Inequivalent atoms, fractional coordinates:
1 Cs 0.000 0.190 0.250 (multiplicity 4)
2 Th 0.000 0.500 0.000 (multiplicity 4)
3 In 0.000 0.120 0.750 (multiplicity 4)
4 S 0.000 0.101 0.003 (multiplicity 8)
5 S 0.000 0.489 0.250 (multiplicity 4)



# 2
CdIr: optimized geometry, PBE-GGA.

**Energy of formation from the pure elements**: 1015 meV per atom
**Total magnetic moment**: 0.4 μB per formula unit
**ρ**: 12.73 g cm⁻³
**DFT total energy**: -3.861 eV/atom

Lattice parameters (Å, degrees): 4.0141 4.0141 5.6933 90.00 90.00 120.00
Space group P6_3/mmc (No. 194)
Inequivalent atoms, fractional coordinates:
1 Cd 0.0000 0.0000 0.0000 (multiplicity 2)
2 Ir 0.3333 0.6667 0.2500 (multiplicity 2)



# 3
Li3NdSm2Sn3: optimized geometry, PBE-GGA.

**Total magnetic moment**: 0.0 μB per formula unit
**ρ**: 6.16 g cm⁻³
**DFT total energy**: -4.183 eV/atom

Lattice parameters (Å, degrees): 4.7553 4.7553 11.3103 90.00 90.00 120.00
Space group P-6m2 (No. 187)
Inequivalent atoms, fractional coordinates:
1 Li 0.0000 0.0000 0.0000 (multiplicity 1)
2 Li 0.3333 0.6667 0.3092 (multiplicity 2)
3 Nd 0.6667 0.3333 0.5000 (multiplicity 1)
4 Sm 0.6667 0.3333 0.1634 (multiplicity 2)
5 Sn 0.0000 0.0000 0.3252 (multiplicity 2)
6 Sn 0.3333 0.6667 0.0000 (multiplicity 1)



# 4
Tb2GdGa3Si2Ni: optimized geometry, PBE-GGA.

**Total magnetic moment**: 0.0 μB per formula unit
**ρ**: 7.70 g cm⁻³
**DFT total energy**: -5.068 eV/atom

Lattice parameters (Å, degrees): 4.171 11.967 6.902 90.00 90.00 90.00
Space group Amm2 (No. 38)
Inequivalent atoms, fractional coordinates:
1 Tb 0.000 0.201 0.000 (multiplicity 4)
2 Gd 0.000 0.000 0.605 (multiplicity 2)
3 Ga 0.500 0.000 0.966 (multiplicity 2)
4 Ga 0.500 0.118 0.319 (multiplicity 4)
5 Si 0.500 0.167 0.702 (multiplicity 4)
6 Ni 0.000 0.000 0.200 (multiplicity 2)